# 1
12
Lattice="3.8865 0.0000 0.0000 0.0000 4.8418 0.0000 0.0000 0.0000 8.3825" Properties=species:S:1:pos:R:3 comment="GdTmFe2Ni8, relaxed, DFT GGA-PBEsol" m_tot_mub_per_cell=14.74 ef_ev_per_atom=-0.2360 spacegroup=Pmm2 pbc="T T T"
Ni 1.9432 3.6431 2.1184
Ni 1.9432 1.2034 6.2621
Fe 0.0000 2.4209 2.8043
Ni 0.0000 2.4209 5.5669
Ni 0.0000 0.0000 1.4179
Ni 1.9432 3.6384 6.2621
Ni 1.9432 2.4209 4.1936
Ni 1.9432 0.0000 0.0037
Fe 0.0000 0.0000 6.9749
Ni 1.9432 1.1987 2.1184
Gd 0.0000 2.4209 8.3815
Tm 0.0000 0.0000 4.1916

---

# 2
20
Lattice="5.0916 0.0000 0.0000 0.0000 5.4768 0.0000 0.0000 0.0000 7.3310" Properties=species:S:1:pos:R:3 comment="GdYFe2O6, relaxed, DFT GGA-PBEsol" m_tot_mub_per_cell=10.05 raw_formation_energy_kj_per_mol_atoms=-232.9 spacegroup=Pmc2_1 pbc="T T T"
Y 1.3868 3.1416 0.0000
Fe 3.8253 2.7431 1.8191
O 0.2994 3.8328 2.1553
Fe 1.2662 0.0047 5.5118
Fe 3.8253 2.7431 5.5118
O 1.7284 0.1204 3.6655
O 4.3197 2.5888 0.0000
O 2.2533 1.6452 1.4611
O 2.2533 1.6452 5.8699
O 2.8383 4.3836 5.8699
Gd 3.9220 5.0911 3.6655
O 0.7719 5.3272 0.0000
Y 3.7048 0.4032 0.0000
Fe 1.2662 0.0047 1.8191
O 4.7922 1.0944 5.1757
O 2.8383 4.3836 1.4611
O 0.2994 3.8328 5.1757
Gd 1.1696 2.3527 3.6655
O 3.3631 2.8588 3.6655
O 4.7922 1.0944 2.1553

---

# 3
17
Lattice="6.6674 0.0000 0.0000 -2.2225 6.2861 0.0000 -2.2225 -3.1430 5.4439" Properties=species:S:1:pos:R:3 comment="GdFe4P12, relaxed, DFT GGA-PBEsol" m_tot_mub_per_cell=6.56 ef_ev_per_atom=-0.7187 spacegroup=Im-3 pbc="T T T"
Fe -1.1112 3.1430 0.0000
Fe 1.1112 1.5715 2.7220
P 3.1088 2.5163 2.7004
P 2.2048 4.5540 0.8290
Fe -1.1112 -1.5715 2.7220
P -0.8864 0.6267 2.7435
P 3.5586 -1.0804 3.5294
P 4.4273 1.5840 1.0856
P -1.3361 4.2235 1.9145
P 0.8864 2.6893 0.8290
P -0.0176 3.2912 3.5294
Fe 3.3337 0.0000 0.0000
P 2.2401 -0.1481 1.9145
P 0.0176 -1.4109 4.6149
Gd 0.0000 0.0000 0.0000
P -2.2048 1.5591 4.3583
P 1.3361 0.4537 4.6149